CuBSbI2 | SCAN | single point on PBEsol structure

Lattice parameters (Å, degrees): 5.0685 5.0685 4.5986 90.00 90.00 90.00
With the nearest neighbours (Å) after each atom.
Fractional coordinates of all 5 atoms:
Cu  0.0000  0.0000  0.0000  8 I 3.42, 4 Sb 3.58
B  0.5000  0.5000  0.5000  2 Sb 2.30, 4 I 2.53
Sb  0.5000  0.5000  0.0000  2 B 2.30
I  0.0000  0.5000  0.5000  2 B 2.53
I  0.5000  0.0000  0.5000  2 B 2.53

DOS(E_F)   0.64 states/eV per atom
M_tot   0.00 μB per cell
E_form (uncorrected)   1160 meV per atom
Theoretical density   6.3 g cm⁻³
Space group   P4/mmm, No. 123


Cu2B3Ir4 | SCAN | single point on PBEsol structure

Lattice parameters (Å, degrees): 2.7927 12.8115 12.8115 12.64 90.00 90.00
With the nearest neighbours (Å) after each atom.
Fractional coordinates of all 9 atoms:
Cu  0.0000  0.0000  0.0000  4 Cu 2.44, 4 Ir 2.67, 1 B 2.71
Cu  0.5000  0.4445  0.4445  4 Cu 2.44, 1 B 2.67, 4 Ir 2.68
B  0.0000  0.1064  0.1064  6 Ir 2.15-2.19
B  0.5000  0.3396  0.3396  6 Ir 2.17-2.22
B  0.5000  0.7321  0.7321  6 Ir 2.11-2.22
Ir  0.0000  0.2716  0.2716  6 B 2.22
Ir  0.0000  0.8736  0.8736  4 B 2.17
Ir  0.5000  0.1704  0.1704  4 B 2.11-2.15
Ir  0.5000  0.5704  0.5704  4 B 2.19

DOS(E_F)   0.30 states/eV per atom
Formation enthalpy at 0 K   -0.2189 eV/atom
M_tot   0.00 μB per cell
Theoretical density   15.4 g cm⁻³
Space group   Amm2, No. 38


KCuBSb2 | SCAN | single point on PBEsol structure

Lattice parameters (Å, degrees): 5.4140 5.4140 3.8687 90.00 90.00 90.00
With the nearest neighbours (Å) after each atom.
Fractional coordinates of all 5 atoms:
K  0.0000  0.0000  0.0000  8 Sb 3.33
Cu  0.5000  0.5000  0.5000  2 B 1.93
B  0.5000  0.5000  0.0000  2 Cu 1.93
Sb  0.0000  0.5000  0.5000  2 Cu 2.71
Sb  0.5000  0.0000  0.5000  2 Cu 2.71

DOS(E_F)   0.51 states/eV per atom
M_tot   0.00 μB per cell
E_form (uncorrected)   566 meV per atom
Theoretical density   5.2 g cm⁻³
Space group   P4/mmm, No. 123


La2YCuB | SCAN | single point on PBEsol structure

Lattice parameters (Å, degrees): 5.6709 5.6709 3.8424 90.00 90.00 90.00
With the nearest neighbours (Å) after each atom.
Fractional coordinates of all 5 atoms:
La  0.0000  0.5000  0.0000  2 Cu 2.84
La  0.5000  0.0000  0.0000  2 Cu 2.84
Y  0.0000  0.0000  0.5000  8 La 3.43
Cu  0.5000  0.5000  0.0000  2 B 1.92
B  0.5000  0.5000  0.5000  2 Cu 1.92

DOS(E_F)   1.02 states/eV per atom
Formation enthalpy at 0 K   0.3598 eV/atom
M_tot   0.00 μB per cell
Theoretical density   5.9 g cm⁻³
Space group   P4/mmm, No. 123


LiCu3B | SCAN | single point on PBEsol structure

Lattice parameters (Å, degrees): 3.8853 3.8853 3.8853 90.00 90.00 90.00
With the nearest neighbours (Å) after each atom.
Fractional coordinates of all 5 atoms:
Li  0.0000  0.0000  0.0000  6 Cu 1.94
Cu  0.0000  0.0000  0.5000  2 Li 1.94
Cu  0.0000  0.5000  0.0000  2 Li 1.94
Cu  0.5000  0.0000  0.0000  2 Li 1.94
B  0.5000  0.5000  0.5000  12 Cu 2.75

DOS(E_F)   0.36 states/eV per atom
Formation enthalpy at 0 K   1.4217 eV/atom
M_tot   0.00 μB per cell
Theoretical density   5.9 g cm⁻³
Space group   Pm-3m, No. 221


LiCuB2 | SCAN | single point on PBEsol structure

Lattice parameters (Å, degrees): 3.5548 3.5548 3.5548 60.00 60.00 60.00
With the nearest neighbours (Å) after each atom.
Fractional coordinates of all 4 atoms:
Li  0.0000  0.0000  0.0000  8 B 2.18
Cu  0.5000  0.5000  0.5000  8 B 2.18
B  0.2500  0.2500  0.2500  4 Li 2.18, 4 Cu 2.18
B  0.7500  0.7500  0.7500  4 Cu 2.18, 4 Li 2.18

DOS(E_F)   0.21 states/eV per atom
Formation enthalpy at 0 K   0.6103 eV/atom
M_tot   0.00 μB per cell
Theoretical density   4.8 g cm⁻³
Space group   Fm-3m, No. 225


Na2MgCuB | SCAN | single point on PBEsol structure

Lattice parameters (Å, degrees): 5.5150 5.5150 4.6252 90.00 90.00 90.00
With the nearest neighbours (Å) after each atom.
Fractional coordinates of all 5 atoms:
Na  0.0000  0.5000  0.0000  2 Mg 2.76
Na  0.5000  0.0000  0.0000  2 Mg 2.76
Mg  0.0000  0.0000  0.0000  2 Cu 2.31
Cu  0.0000  0.0000  0.5000  2 Mg 2.31
B  0.5000  0.5000  0.5000  8 Na 3.60, 4 Cu 3.90

DOS(E_F)   0.62 states/eV per atom
Formation enthalpy at 0 K   1.4944 eV/atom
M_tot   0.00 μB per cell
Theoretical density   1.7 g cm⁻³
Space group   P4/mmm, No. 123


MnCuB3 | SCAN | single point on PBEsol structure

Lattice parameters (Å, degrees): 3.7494 3.7494 3.7494 90.00 90.00 90.00
With the nearest neighbours (Å) after each atom.
Fractional coordinates of all 5 atoms:
Mn  0.0000  0.0000  0.0000  12 B 2.65
Cu  0.5000  0.5000  0.5000  6 B 1.87
B  0.0000  0.5000  0.5000  2 Cu 1.87
B  0.5000  0.0000  0.5000  2 Cu 1.87
B  0.5000  0.5000  0.0000  2 Cu 1.87

DOS(E_F)   0.34 states/eV per atom
Formation enthalpy at 0 K   1.3526 eV/atom
M_tot   3.55 μB per cell
Theoretical density   4.8 g cm⁻³
Space group   Pm-3m, No. 221


Copy entry 7 word for word.
Na2MgCuB | SCAN | single point on PBEsol structure

Lattice parameters (Å, degrees): 5.5150 5.5150 4.6252 90.00 90.00 90.00
With the nearest neighbours (Å) after each atom.
Fractional coordinates of all 5 atoms:
Na  0.0000  0.5000  0.0000  2 Mg 2.76
Na  0.5000  0.0000  0.0000  2 Mg 2.76
Mg  0.0000  0.0000  0.0000  2 Cu 2.31
Cu  0.0000  0.0000  0.5000  2 Mg 2.31
B  0.5000  0.5000  0.5000  8 Na 3.60, 4 Cu 3.90

DOS(E_F)   0.62 states/eV per atom
Formation enthalpy at 0 K   1.4944 eV/atom
M_tot   0.00 μB per cell
Theoretical density   1.7 g cm⁻³
Space group   P4/mmm, No. 123


M_tot of number 7 (Na2MgCuB)? 0.00 μB per cell


Look up the M_tot of the fifth one. 0.00 μB per cell